Record 1
SnI2OF at its PBEsol-relaxed geometry, computed with SCAN.

The structure belongs to space group P4/mmm (No. 123); the cell edges are 5.7923, 5.7923 and 3.8807 Å and the angles 90.00°, 90.00° and 90.00°. The inequivalent atoms are Sn at (0.0000, 0.0000, 0.0000), I at (0.0000, 0.5000, 0.0000), O at (0.0000, 0.0000, 0.5000) and F at (0.5000, 0.5000, 0.5000).

The total energy is -120.46 eV per cell. The uncorrected formation energy is -0.257 eV per atom. The calculation puts the density of states at the Fermi level at 1.021 states/eV/atom. The volume comes out at 130.2 Å³/cell.

=====

Record 2
CoAg2BiC at its PBEsol-relaxed geometry, computed with SCAN.

The structure belongs to space group P4/mmm (No. 123); the cell edges are 4.1129, 4.1129 and 5.0923 Å and the angles 90.00°, 90.00° and 90.00°. The inequivalent atoms are Co at (0.0000, 0.0000, 0.0000), Ag at (0.0000, 0.5000, 0.5000), Bi at (0.5000, 0.5000, 0.0000) and C at (0.5000, 0.5000, 0.5000).

The total energy is -163.04 eV per cell. The calculation puts the density of states at the Fermi level at 0.471 states/eV/atom. The volume comes out at 86.1 Å³/cell.

=====

Record 3
InCuSe2 at its PBEsol-relaxed geometry, computed with SCAN.

The structure belongs to space group Imm2 (No. 44); the cell edges are 3.5347, 3.5904 and 13.0657 Å and the angles 90.00°, 90.00° and 90.00°. The inequivalent atoms are In at (0.0000, 0.0000, 0.0000), Cu at (0.0000, 0.5000, 0.2062), Se at (0.0000, 0.0000, 0.4130) and Se at (0.0000, 0.5000, 0.6802).

The total energy is -178.38 eV per cell. The uncorrected formation energy is -0.111 eV per atom. The calculation puts the density of states at the Fermi level at 0.211 states/eV/atom. The volume comes out at 165.8 Å³/cell.

=====

Record 4
CaIrOs2 at its PBEsol-relaxed geometry, computed with SCAN.

The structure belongs to space group P2/m (No. 10); the cell edges are 2.7513, 4.7259 and 4.9644 Å and the angles 90.00°, 97.56° and 90.00°. The inequivalent atoms are Ca at (0.0000, 0.0000, 0.0000), Ir at (0.5000, 0.0000, 0.5000) and Os at (0.3221, 0.5000, 0.7323).

The total energy is -222.39 eV per cell. The relative energy among the computed polymorphs is 317 meV/atom. The calculation puts the density of states at the Fermi level at 1.142 states/eV/atom. The volume comes out at 64.0 Å³/cell.

=====

Record 5
La3Cu at its PBEsol-relaxed geometry, computed with SCAN.

The structure belongs to space group Pnma (No. 62); the cell edges are 7.0325, 10.2633 and 6.4604 Å and the angles 90.00°, 90.00° and 90.00°. The inequivalent atoms are La at (0.0245, 0.2500, 0.1453), La at (0.1900, 0.0557, 0.6605) and Cu at (0.1097, 0.7500, 0.4129).

The total energy is -579.43 eV per cell. The calculation puts the density of states at the Fermi level at 1.075 states/eV/atom. The volume comes out at 466.3 Å³/cell.

=====

Record 6
LiCaBr3 at its PBEsol-relaxed geometry, computed with SCAN.

The structure belongs to space group Pm-3m (No. 221); the cell edges are 4.9677, 4.9677 and 4.9677 Å and the angles 90.00°, 90.00° and 90.00°. The inequivalent atoms are Li at (0.0000, 0.0000, 0.0000), Ca at (0.5000, 0.5000, 0.5000) and Br at (0.0000, 0.0000, 0.5000).

The total energy is -78.84 eV per cell. The uncorrected formation energy is -1.681 eV per atom. The calculation puts the density of states at the Fermi level at 0.000 states/eV/atom. The volume comes out at 122.6 Å³/cell.

=====

Record 7
KY2Hg at its PBEsol-relaxed geometry, computed with SCAN.

The structure belongs to space group Pmmm (No. 47); the cell edges are 3.7903, 5.5143 and 5.6267 Å and the angles 90.00°, 90.00° and 90.00°. The inequivalent atoms are K at (0.0000, 0.0000, 0.0000), Y at (0.0000, 0.5000, 0.5000), Y at (0.5000, 0.5000, 0.0000) and Hg at (0.5000, 0.0000, 0.5000).

The total energy is -131.61 eV per cell. The calculation puts the density of states at the Fermi level at 0.819 states/eV/atom. The volume comes out at 117.6 Å³/cell.

=====

Record 8
Zr2BeOs at its PBEsol-relaxed geometry, computed with SCAN.

The structure belongs to space group P4/mmm (No. 123); the cell edges are 4.5408, 4.5408 and 3.2208 Å and the angles 90.00°, 90.00° and 90.00°. The inequivalent atoms are Zr at (0.0000, 0.5000, 0.0000), Be at (0.0000, 0.0000, 0.5000) and Os at (0.5000, 0.5000, 0.5000).

The total energy is -139.36 eV per cell. The calculation puts the density of states at the Fermi level at 0.272 states/eV/atom. The volume comes out at 66.4 Å³/cell.

=====

Record 9
Sr2NiAg at its PBEsol-relaxed geometry, computed with SCAN.

The structure belongs to space group I-4m2 (No. 119); the cell edges are 4.3837, 4.3837 and 10.4851 Å and the angles 90.00°, 90.00° and 90.00°. The inequivalent atoms are Sr at (0.0000, 0.0000, 0.0000), Sr at (0.0000, 0.5000, 0.2500), Ni at (0.0000, 0.5000, 0.7500) and Ag at (0.0000, 0.0000, 0.5000).

The total energy is -182.51 eV per cell. The calculation puts the density of states at the Fermi level at 0.485 states/eV/atom. The volume comes out at 201.5 Å³/cell.

=====

Record 10
TlMo2Ru at its PBEsol-relaxed geometry, computed with SCAN.

The structure belongs to space group Imm2 (No. 44); the cell edges are 3.1435, 4.6444 and 8.9458 Å and the angles 90.00°, 90.00° and 90.00°. The inequivalent atoms are Tl at (0.0000, 0.0000, 0.0000), Mo at (0.0000, 0.0000, 0.4943), Mo at (0.0000, 0.5000, 0.7734) and Ru at (0.0000, 0.5000, 0.2353).

The total energy is -349.53 eV per cell. The calculation puts the density of states at the Fermi level at 0.606 states/eV/atom. The volume comes out at 130.6 Å³/cell.

=====

Record 11
CaV2O4 at its PBEsol-relaxed geometry, computed with SCAN.

The structure belongs to space group R3m (No. 160, hexagonal axes); the cell edges are 5.9830, 5.9830 and 15.7639 Å and the angles 90.00°, 90.00° and 120.00°. The inequivalent atoms are Ca at (0.0000, 0.0000, 0.0000), Ca at (0.0000, 0.0000, 0.3695), V at (0.0000, 0.0000, 0.6205), V at (0.0030, 0.5015, 0.4968), O at (0.0000, 0.0000, 0.2287), O at (0.0000, 0.0000, 0.7478), O at (0.0301, 0.5150, 0.7673) and O at (0.1678, 0.3356, 0.5720).

The total energy is -532.31 eV per cell. The relative energy among the computed polymorphs is 99 meV/atom. The uncorrected formation energy is -2.736 eV per atom. The calculation puts the density of states at the Fermi level at 0.074 states/eV/atom. The volume comes out at 488.7 Å³/cell.

=====

Record 12
SrMgScMn2 at its PBEsol-relaxed geometry, computed with SCAN.

The structure belongs to space group P4/mmm (No. 123); the cell edges are 4.9565, 4.9565 and 5.4235 Å and the angles 90.00°, 90.00° and 90.00°. The inequivalent atoms are Sr at (0.0000, 0.0000, 0.0000), Mg at (0.0000, 0.0000, 0.5000), Sc at (0.5000, 0.5000, 0.0000) and Mn at (0.0000, 0.5000, 0.5000).

The total energy is -73.65 eV per cell. The calculation puts the density of states at the Fermi level at 1.263 states/eV/atom. The volume comes out at 133.2 Å³/cell.